# 1
The following is a DFT calculation (PBE-GGA) of a relaxed structure of ZrGa2S.

Summary:
The calculation puts the density of states at the Fermi level at 0.6380 states/eV/atom. The energy relative to the elements, uncorrected is -0.234 eV/atom. As for the total magnetic moment: 0.0 μB/f.u. The calculation puts the uncorrected energy at -4.917 eV/atom.

Lattice parameters (Å, degrees): 7.5452 7.5452 5.3195 90.00 90.00 90.00
Closest atoms and distances in Å follow each position.
Space group I-42d (No. 122)
Symmetry-distinct sites (fractional):
Zr 0.0000 0.0000 0.0000  2 S 2.66, 4 Ga 2.87
Ga 0.2265 0.7500 0.6250  2 S 2.63, 2 Ga 2.68, 2 Zr 2.87
S 0.0000 0.0000 0.5000  4 Ga 2.63, 2 Zr 2.66

=====

# 2
The following is a DFT calculation (PBE-GGA) of a relaxed structure of Zr3Ga5S12.

Summary:
The calculation puts the density of states at the Fermi level at 0.3390 states/eV/atom. The energy relative to the elements, uncorrected is -0.877 eV/atom. As for the total magnetic moment: 0.0 μB/f.u. The calculation puts the uncorrected energy at -5.393 eV/atom.

Lattice parameters (Å, degrees): 14.7495 14.7495 14.7495 90.00 90.00 90.00
Closest atoms and distances in Å follow each position.
Space group Ia-3d (No. 230)
Symmetry-distinct sites (fractional):
Zr 0.0000 0.2500 0.1250  8 S 2.77-2.78
Ga 0.0000 0.0000 0.0000  6 S 2.49
Ga 0.0000 0.2500 0.3750  4 S 2.28
S 0.0226 0.0655 0.6540  2 Ga 2.28-2.49

=====

# 3
The following is a DFT calculation (PBE-GGA) of a relaxed structure of ZrGaS3.

Summary:
The polymorph energy (0 for the lowest one) is 0.772 eV per atom. The calculation puts the density of states at the Fermi level at 0.7744 states/eV/atom. The energy relative to the elements, uncorrected is -0.126 eV/atom. As for the total magnetic moment: 0.0 μB/f.u. The calculation puts the uncorrected energy at -4.917 eV/atom.

Lattice parameters (Å, degrees): 4.6048 4.6048 4.6048 90.00 90.00 90.00
Closest atoms and distances in Å follow each position.
Space group Pm-3m (No. 221)
Symmetry-distinct sites (fractional):
Zr 0.0000 0.0000 0.0000  12 S 3.26
Ga 0.5000 0.5000 0.5000  6 S 2.30
S 0.0000 0.5000 0.5000  2 Ga 2.30

=====

# 4
The following is a DFT calculation (PBE-GGA) of a relaxed structure of ZrGaS3.

Summary:
The polymorph energy (0 for the lowest one) is 0.241 eV per atom. The calculation puts the density of states at the Fermi level at 0.5076 states/eV/atom. The energy relative to the elements, uncorrected is -0.656 eV/atom. As for the total magnetic moment: 0.0 μB/f.u. The calculation puts the uncorrected energy at -5.448 eV/atom.

Lattice parameters (Å, degrees): 5.0175 5.0175 5.0175 90.00 90.00 90.00
Closest atoms and distances in Å follow each position.
Space group Pm-3m (No. 221)
Symmetry-distinct sites (fractional):
Zr 0.0000 0.0000 0.0000  6 S 2.51
Ga 0.5000 0.5000 0.5000  12 S 3.55
S 0.0000 0.0000 0.5000  2 Zr 2.51

=====

# 5
The following is a DFT calculation (PBE-GGA) of a relaxed structure of Zr4Ga2S.

Summary:
The calculation puts the density of states at the Fermi level at 0.8162 states/eV/atom. The energy relative to the elements, uncorrected is -0.840 eV/atom. As for the total magnetic moment: 0.0 μB/f.u. The calculation puts the uncorrected energy at -7.179 eV/atom.

Lattice parameters (Å, degrees): 10.9845 3.8185 7.9105 90.00 123.76 90.00
Closest atoms and distances in Å follow each position.
Space group C2/m (No. 12)
Symmetry-distinct sites (fractional):
Zr 0.1001 0.0000 0.3764  1 S 2.54
Zr 0.1732 0.5000 0.0760  2 S 2.52, 2 Ga 2.78
Ga 0.1233 0.5000 0.6666  1 Ga 2.52, 2 Zr 2.78
S 0.0000 0.0000 0.0000  6 Zr 2.52-2.54

=====

# 6
The following is a DFT calculation (PBE-GGA) of a relaxed structure of ZrGa3S.

Summary:
The polymorph energy (0 for the lowest one) is 0.404 eV per atom. The calculation puts the density of states at the Fermi level at 1.4531 states/eV/atom. The energy relative to the elements, uncorrected is 0.805 eV/atom. As for the total magnetic moment: 0.0 μB/f.u. The calculation puts the uncorrected energy at -3.546 eV/atom.

Lattice parameters (Å, degrees): 5.3274 5.3274 5.3274 90.00 90.00 90.00
Closest atoms and distances in Å follow each position.
Space group Pm-3m (No. 221)
Symmetry-distinct sites (fractional):
Zr 0.0000 0.0000 0.0000  6 Ga 2.66
Ga 0.0000 0.0000 0.5000  2 Zr 2.66
S 0.5000 0.5000 0.5000  12 Ga 3.77

=====

# 7
The following is a DFT calculation (PBE-GGA) of a relaxed structure of ZrGaS3.

Summary:
The polymorph energy (0 for the lowest one) is 0.000 eV per atom. The calculation puts the density of states at the Fermi level at 0.6494 states/eV/atom. The energy relative to the elements, uncorrected is -0.898 eV/atom. As for the total magnetic moment: 0.0 μB/f.u. The calculation puts the uncorrected energy at -5.689 eV/atom.

Lattice parameters (Å, degrees): 6.4805 6.4805 6.3250 90.00 90.00 120.00
Closest atoms and distances in Å follow each position.
Space group P-6c2 (No. 188)
Symmetry-distinct sites (fractional):
Zr 0.0000 0.0000 0.0000  6 S 2.60
Ga 0.3333 0.6667 0.0000  6 S 2.59
S 0.0339 0.3339 0.2500  2 Ga 2.59, 2 Zr 2.60

=====

# 8
The following is a DFT calculation (PBE-GGA) of a relaxed structure of Zr2GaS6.

Summary:
The calculation puts the density of states at the Fermi level at 0.6278 states/eV/atom. The energy relative to the elements, uncorrected is -0.948 eV/atom. As for the total magnetic moment: 0.0 μB/f.u. The calculation puts the uncorrected energy at -5.935 eV/atom.

Lattice parameters (Å, degrees): 6.0093 6.0093 11.2362 90.00 90.00 90.00
Closest atoms and distances in Å follow each position.
Space group P4_2/mnm (No. 136)
Symmetry-distinct sites (fractional):
Zr 0.0000 0.0000 0.1624  6 S 2.52-2.60
Ga 0.0000 0.0000 0.5000  6 S 2.46-2.51
S 0.1938 0.1938 0.3377  1 Ga 2.46, 2 Zr 2.57-2.60
S 0.2044 0.2044 0.0000  1 Ga 2.51, 2 Zr 2.52

=====

# 9
The following is a DFT calculation (PBE-GGA) of a relaxed structure of Ga3Sb.

Summary:
The calculation puts the density of states at the Fermi level at 0.4422 states/eV/atom. The energy relative to the elements, uncorrected is 0.073 eV/atom. As for the total magnetic moment: 0.0 μB/f.u. The calculation puts the uncorrected energy at -3.228 eV/atom.

Lattice parameters (Å, degrees): 4.4263 4.4263 8.9604 90.00 90.00 90.00
Closest atoms and distances in Å follow each position.
Space group I4/mmm (No. 139)
Symmetry-distinct sites (fractional):
Ga 0.0000 0.0000 0.0000  4 Sb 3.13, 8 Ga 3.15
Ga 0.0000 0.5000 0.2500  8 Ga 3.13-3.15, 4 Sb 3.15
Sb 0.0000 0.0000 0.5000  12 Ga 3.13-3.15

=====

# 10
The following is a DFT calculation (PBE-GGA) of a relaxed structure of Ga2Sb.

Summary:
The polymorph energy (0 for the lowest one) is 0.031 eV per atom. The calculation puts the density of states at the Fermi level at 0.3452 states/eV/atom. The energy relative to the elements, uncorrected is 0.050 eV/atom. As for the total magnetic moment: 0.0 μB/f.u. The calculation puts the uncorrected energy at -3.342 eV/atom.

Lattice parameters (Å, degrees): 3.1111 3.9848 6.0875 106.08 98.23 105.68
Closest atoms and distances in Å follow each position.
Space group P-1 (No. 2)
Symmetry-distinct sites (fractional):
Ga 0.1710 0.1865 0.3608  2 Ga 2.68-2.70, 2 Sb 2.85-2.87
Sb 0.0000 0.5000 0.0000  4 Ga 2.85-2.87, 2 Sb 3.11

=====

# 11
The following is a DFT calculation (PBE-GGA) of a relaxed structure of Ga2Sb.

Summary:
The polymorph energy (0 for the lowest one) is 0.000 eV per atom. The calculation puts the density of states at the Fermi level at 0.5897 states/eV/atom. The energy relative to the elements, uncorrected is 0.018 eV/atom. As for the total magnetic moment: 0.0 μB/f.u. The calculation puts the uncorrected energy at -3.374 eV/atom.

Lattice parameters (Å, degrees): 5.2369 5.2369 8.5949 90.00 90.00 120.00
Closest atoms and distances in Å follow each position.
Space group R-3m (No. 166, hexagonal axes)
Symmetry-distinct sites (fractional):
Ga 0.0000 0.0000 0.1622  4 Ga 2.79-3.02, 4 Sb 2.90-3.02
Sb 0.0000 0.0000 0.5000  8 Ga 2.90-3.02

=====

# 12
The following is a DFT calculation (PBE-GGA) of a relaxed structure of GaSb.

Summary:
The polymorph energy (0 for the lowest one) is 0.071 eV per atom. The calculation puts the density of states at the Fermi level at 0.0686 states/eV/atom. The energy relative to the elements, uncorrected is -0.092 eV/atom. As for the total magnetic moment: 0.0 μB/f.u. The calculation puts the uncorrected energy at -3.667 eV/atom.

Lattice parameters (Å, degrees): 7.6178 4.4069 7.6450 90.00 109.38 90.00
Closest atoms and distances in Å follow each position.
Space group C2/m (No. 12)
Symmetry-distinct sites (fractional):
Ga 0.0587 0.0000 0.1735  1 Ga 2.50, 3 Sb 2.70
Sb 0.0654 0.5000 0.6988  3 Ga 2.70, 1 Sb 2.87